A plane-wave DFT calculation with PBE was carried out for a geometry-optimized NpFeGe2 structure.

Summary:
Space-group type ... P4/mmm
Energy relative to the elements ... -0.03 eV/atom

Cell and atoms, written as CIF:
```
data_NpFeGe2
_chemical_formula_sum 'Np1 Fe1 Ge2'
_symmetry_space_group_name_H-M 'P 1'
_symmetry_Int_Tables_number 1
_cell_length_a 3.089
_cell_length_b 3.089
_cell_length_c 6.954
_cell_angle_alpha 90.00
_cell_angle_beta 90.00
_cell_angle_gamma 90.00
loop_
_symmetry_equiv_pos_as_xyz
'x,y,z'
loop_
_atom_site_label
_atom_site_fract_x
_atom_site_fract_y
_atom_site_fract_z
Np1 0.000 0.000 0.000
Fe1 0.000 0.000 0.500
Ge1 0.500 0.500 0.305
Ge2 0.500 0.500 0.695
```


A plane-wave DFT calculation with PBE was carried out for a geometry-optimized Np2Fe12Ge7 structure.

Summary:
Space-group type ... P-6
Energy relative to the elements ... -0.08 eV/atom

Cell and atoms, written as CIF:
```
data_Np2Fe12Ge7
_chemical_formula_sum 'Np2 Fe12 Ge7'
_symmetry_space_group_name_H-M 'P 1'
_symmetry_Int_Tables_number 1
_cell_length_a 9.536
_cell_length_b 9.536
_cell_length_c 3.747
_cell_angle_alpha 90.00
_cell_angle_beta 90.00
_cell_angle_gamma 120.00
loop_
_symmetry_equiv_pos_as_xyz
'x,y,z'
loop_
_atom_site_label
_atom_site_fract_x
_atom_site_fract_y
_atom_site_fract_z
Np1 0.000 0.000 0.000
Np2 0.333 0.667 0.500
Fe1 0.035 0.279 0.500
Fe2 0.114 0.725 0.000
Fe3 0.243 0.965 0.500
Fe4 0.275 0.389 0.000
Fe5 0.379 0.178 0.000
Fe6 0.552 0.430 0.500
Fe7 0.570 0.122 0.500
Fe8 0.611 0.886 0.000
Fe9 0.721 0.757 0.500
Fe10 0.798 0.621 0.000
Fe11 0.822 0.202 0.000
Fe12 0.878 0.448 0.500
Ge1 0.064 0.457 0.000
Ge2 0.258 0.227 0.500
Ge3 0.393 0.936 0.000
Ge4 0.543 0.607 0.000
Ge5 0.667 0.333 0.000
Ge6 0.773 0.031 0.500
Ge7 0.969 0.742 0.500
```


A plane-wave DFT calculation with PBE was carried out for a geometry-optimized Np2FeGe3 structure.

Summary:
Space-group type ... Cm
Energy relative to the elements ... -0.15 eV/atom

Cell and atoms, written as CIF:
```
data_Np2FeGe3
_chemical_formula_sum 'Np4 Fe2 Ge6'
_symmetry_space_group_name_H-M 'P 1'
_symmetry_Int_Tables_number 1
_cell_length_a 10.186
_cell_length_b 4.310
_cell_length_c 6.066
_cell_angle_alpha 90.00
_cell_angle_beta 124.95
_cell_angle_gamma 90.00
loop_
_symmetry_equiv_pos_as_xyz
'x,y,z'
loop_
_atom_site_label
_atom_site_fract_x
_atom_site_fract_y
_atom_site_fract_z
Np1 0.000 0.000 0.000
Np2 0.087 0.000 0.657
Np3 0.500 0.500 0.000
Np4 0.587 0.500 0.657
Fe1 0.203 0.500 0.472
Fe2 0.703 0.000 0.472
Ge1 0.236 0.500 0.096
Ge2 0.340 0.000 0.576
Ge3 0.415 0.000 0.222
Ge4 0.736 0.000 0.096
Ge5 0.840 0.500 0.576
Ge6 0.915 0.500 0.222
```


A plane-wave DFT calculation with PBE was carried out for a geometry-optimized NpFeGe2 structure.

Summary:
Space-group type ... R-3m
Energy relative to the elements ... -0.13 eV/atom

Cell and atoms, written as CIF:
```
data_NpFeGe2
_chemical_formula_sum 'Np3 Fe3 Ge6'
_symmetry_space_group_name_H-M 'P 1'
_symmetry_Int_Tables_number 1
_cell_length_a 4.105
_cell_length_b 4.105
_cell_length_c 14.652
_cell_angle_alpha 90.00
_cell_angle_beta 90.00
_cell_angle_gamma 120.00
loop_
_symmetry_equiv_pos_as_xyz
'x,y,z'
loop_
_atom_site_label
_atom_site_fract_x
_atom_site_fract_y
_atom_site_fract_z
Np1 0.000 0.000 0.000
Np2 0.333 0.667 0.667
Np3 0.667 0.333 0.333
Fe1 0.000 0.000 0.500
Fe2 0.333 0.667 0.167
Fe3 0.667 0.333 0.833
Ge1 0.000 0.000 0.219
Ge2 0.000 0.000 0.781
Ge3 0.333 0.667 0.448
Ge4 0.333 0.667 0.886
Ge5 0.667 0.333 0.114
Ge6 0.667 0.333 0.552
```


A plane-wave DFT calculation with PBE was carried out for a geometry-optimized NpFeGe2 structure.

Summary:
Space-group type ... Cmmm
Energy relative to the elements ... -0.17 eV/atom

Cell and atoms, written as CIF:
```
data_NpFeGe2
_chemical_formula_sum 'Np4 Fe4 Ge8'
_symmetry_space_group_name_H-M 'P 1'
_symmetry_Int_Tables_number 1
_cell_length_a 4.099
_cell_length_b 17.164
_cell_length_c 4.053
_cell_angle_alpha 90.00
_cell_angle_beta 90.00
_cell_angle_gamma 90.00
loop_
_symmetry_equiv_pos_as_xyz
'x,y,z'
loop_
_atom_site_label
_atom_site_fract_x
_atom_site_fract_y
_atom_site_fract_z
Np1 0.000 0.143 0.000
Np2 0.000 0.857 0.000
Np3 0.500 0.357 0.000
Np4 0.500 0.643 0.000
Fe1 0.000 0.426 0.500
Fe2 0.000 0.574 0.500
Fe3 0.500 0.074 0.500
Fe4 0.500 0.926 0.500
Ge1 0.000 0.000 0.500
Ge2 0.000 0.291 0.500
Ge3 0.000 0.500 0.000
Ge4 0.000 0.709 0.500
Ge5 0.500 0.000 0.000
Ge6 0.500 0.209 0.500
Ge7 0.500 0.500 0.500
Ge8 0.500 0.791 0.500
```


A plane-wave DFT calculation with PBE was carried out for a geometry-optimized NpFe2Ge2 structure.

Summary:
Space-group type ... I4/mmm
Energy relative to the elements ... -0.16 eV/atom

Cell and atoms, written as CIF:
```
data_NpFe2Ge2
_chemical_formula_sum 'Np2 Fe4 Ge4'
_symmetry_space_group_name_H-M 'P 1'
_symmetry_Int_Tables_number 1
_cell_length_a 4.014
_cell_length_b 4.014
_cell_length_c 9.914
_cell_angle_alpha 90.00
_cell_angle_beta 90.00
_cell_angle_gamma 90.00
loop_
_symmetry_equiv_pos_as_xyz
'x,y,z'
loop_
_atom_site_label
_atom_site_fract_x
_atom_site_fract_y
_atom_site_fract_z
Np1 0.000 0.000 0.000
Np2 0.500 0.500 0.500
Fe1 0.000 0.500 0.250
Fe2 0.000 0.500 0.750
Fe3 0.500 0.000 0.250
Fe4 0.500 0.000 0.750
Ge1 0.000 0.000 0.371
Ge2 0.000 0.000 0.629
Ge3 0.500 0.500 0.129
Ge4 0.500 0.500 0.871
```